1.
Compound: HoZn3Pd4
Source: Alexandria
Functional: GGA-PBE
Structure: optimized geometry

a = 4.4526 Å, b = 4.4526 Å, c = 22.6689 Å
α = 90.00°, β = 90.00°, γ = 120.00°
Space group R-3m (No. 166, hexagonal axes)
One atom of each set of equivalent atoms:
Ho  0.0000  0.0000  0.0000 [3 per cell]
Zn  0.0000  0.0000  0.2472 [6 per cell]
Zn  0.0000  0.0000  0.5000 [3 per cell]
Pd  0.0000  0.0000  0.1284 [6 per cell]
Pd  0.0000  0.0000  0.3886 [6 per cell]

mass density = 10.071 g cm⁻³
formation energy from the elements = -637 meV per atom
size of the total moment = 0.0 μB/f.u.

=====

2.
Compound: BePN2O
Source: Alexandria
Functional: GGA-PBE
Structure: optimized geometry

a = 3.7595 Å, b = 3.7595 Å, c = 3.0594 Å
α = 90.00°, β = 90.00°, γ = 90.00°
Space group P4/mmm (No. 123)
One atom of each set of equivalent atoms:
Be  0.0000  0.0000  0.0000 [1 per cell]
P  0.5000  0.5000  0.5000 [1 per cell]
N  0.0000  0.5000  0.0000 [2 per cell]
O  0.0000  0.0000  0.5000 [1 per cell]

mass density = 3.226 g cm⁻³
formation energy from raw total energies = 1.067 eV/atom
size of the total moment = 0.0 μB/f.u.

=====

3.
Compound: Li2CuPd5Pt
Source: Alexandria
Functional: GGA-PBE
Structure: optimized geometry

a = 6.7356 Å, b = 6.7356 Å, c = 11.4448 Å
α = 90.00°, β = 90.00°, γ = 90.00°
Space group I4/mcm (No. 140)
One atom of each set of equivalent atoms:
Li  0.1029  0.3971  0.0000 [8 per cell]
Cu  0.0000  0.5000  0.2500 [4 per cell]
Pd  0.0000  0.0000  0.0000 [4 per cell]
Pd  0.2194  0.2806  0.3681 [16 per cell]
Pt  0.0000  0.0000  0.2500 [4 per cell]

mass density = 10.293 g cm⁻³
formation energy from the elements = -71 meV per atom
size of the total moment = 0.0 μB/f.u.

=====

4.
Compound: Na2FePt
Source: Alexandria
Functional: GGA-PBE
Structure: optimized geometry

a = 6.6838 Å, b = 6.6838 Å, c = 6.6838 Å
α = 90.00°, β = 90.00°, γ = 90.00°
Space group Fm-3m (No. 225)
One atom of each set of equivalent atoms:
Na  0.2500  0.2500  0.2500 [8 per cell]
Fe  0.0000  0.0000  0.0000 [4 per cell]
Pt  0.0000  0.0000  0.5000 [4 per cell]

mass density = 6.605 g cm⁻³
formation energy from the elements = 592 meV per atom
excess energy over the best structure of this formula in the dataset = 0.14 eV per formula unit
size of the total moment = 3.4 μB/f.u.

=====

5.
Compound: Cu2HgTe2
Source: Alexandria
Functional: GGA-PBE
Structure: optimized geometry

a = 8.4527 Å, b = 8.4527 Å, c = 3.1653 Å
α = 90.00°, β = 90.00°, γ = 90.00°
Space group P4/mbm (No. 127)
One atom of each set of equivalent atoms:
Cu  0.1146  0.3854  0.0000 [4 per cell]
Hg  0.0000  0.0000  0.5000 [2 per cell]
Te  0.1626  0.6626  0.5000 [4 per cell]

mass density = 8.560 g cm⁻³
formation energy from raw total energies = 0.264 eV/atom
excess energy over the best structure of this formula in the dataset = 1.51 eV per formula unit
size of the total moment = 0.0 μB/f.u.

=====

6.
Compound: LiPd7Pt2
Source: Alexandria
Functional: GGA-PBE
Structure: optimized geometry

a = 7.2370 Å, b = 12.7691 Å, c = 4.2840 Å
α = 90.00°, β = 90.00°, γ = 90.00°
Space group Cmmm (No. 65)
One atom of each set of equivalent atoms:
Li  0.0000  0.0000  0.0000 [2 per cell]
Pd  0.0000  0.1932  0.0000 [4 per cell]
Pd  0.0000  0.5000  0.5000 [2 per cell]
Pd  0.1834  0.1080  0.5000 [8 per cell]
Pt  0.0000  0.2996  0.5000 [4 per cell]

mass density = 9.580 g cm⁻³
formation energy from the elements = 400 meV per atom
size of the total moment = 0.0 μB/f.u.

=====

7.
Compound: SrTa2Au
Source: Alexandria
Functional: GGA-PBE
Structure: optimized geometry

a = 3.0358 Å, b = 3.0358 Å, c = 32.1625 Å
α = 90.00°, β = 90.00°, γ = 120.00°
Space group R-3m (No. 166, hexagonal axes)
One atom of each set of equivalent atoms:
Sr  0.0000  0.0000  0.0000 [3 per cell]
Ta  0.0000  0.0000  0.2395 [6 per cell]
Au  0.0000  0.0000  0.5000 [3 per cell]

mass density = 12.545 g cm⁻³
formation energy from the elements = 699 meV per atom
excess energy over the best structure of this formula in the dataset = 1.91 eV per formula unit
size of the total moment = 0.0 μB/f.u.

=====

8.
Compound: YTmGe2Pt5
Source: Alexandria
Functional: GGA-PBE
Structure: optimized geometry

a = 4.2442 Å, b = 4.2442 Å, c = 9.0393 Å
α = 90.00°, β = 90.00°, γ = 90.00°
Space group P4/mmm (No. 123)
One atom of each set of equivalent atoms:
Y  0.0000  0.0000  0.0000 [1 per cell]
Tm  0.0000  0.0000  0.5000 [1 per cell]
Ge  0.5000  0.5000  0.3672 [2 per cell]
Pt  0.0000  0.5000  0.2280 [4 per cell]
Pt  0.5000  0.5000  0.0000 [1 per cell]

mass density = 14.058 g cm⁻³
formation energy from the elements = -921 meV per atom
size of the total moment = 0.0 μB/f.u.

=====

9.
Compound: LaTh2Bi4
Source: Alexandria
Functional: GGA-PBE
Structure: optimized geometry

a = 4.6073 Å, b = 15.3372 Å, c = 14.7449 Å
α = 90.00°, β = 90.00°, γ = 90.00°
Space group Cmcm (No. 63)
One atom of each set of equivalent atoms:
La  0.0000  0.1081  0.2500 [4 per cell]
Th  0.0000  0.3646  0.0597 [8 per cell]
Bi  0.0000  0.0000  0.0000 [4 per cell]
Bi  0.0000  0.2663  0.6353 [8 per cell]
Bi  0.0000  0.4548  0.2500 [4 per cell]

mass density = 9.173 g cm⁻³
formation energy from the elements = -497 meV per atom
excess energy over the best structure of this formula in the dataset = 1.48 eV per formula unit
size of the total moment = 0.0 μB/f.u.

=====

10.
Compound: Al2AgMo
Source: Alexandria
Functional: GGA-PBE
Structure: optimized geometry

a = 3.3490 Å, b = 3.3490 Å, c = 5.7683 Å
α = 90.00°, β = 90.00°, γ = 90.00°
Space group P4mm (No. 99)
One atom of each set of equivalent atoms:
Al  0.0000  0.0000  0.0000 [1 per cell]
Al  0.5000  0.5000  0.2693 [1 per cell]
Ag  0.5000  0.5000  0.7715 [1 per cell]
Mo  0.0000  0.0000  0.4725 [1 per cell]

mass density = 6.616 g cm⁻³
formation energy from the elements = 138 meV per atom
excess energy over the best structure of this formula in the dataset = 0.98 eV per formula unit
size of the total moment = 0.0 μB/f.u.

=====

11.
Compound: Na5Np3Cl12
Source: Alexandria
Functional: GGA-PBE
Structure: optimized geometry

a = 16.3417 Å, b = 16.3417 Å, c = 16.3417 Å
α = 90.00°, β = 90.00°, γ = 90.00°
Space group Ia-3d (No. 230)
One atom of each set of equivalent atoms:
Na  0.0000  0.0000  0.0000 [16 per cell]
Na  0.0000  0.2500  0.3750 [24 per cell]
Np  0.0000  0.2500  0.1250 [24 per cell]
Cl  0.0205  0.0700  0.6540 [96 per cell]

mass density = 3.809 g cm⁻³
formation energy from raw total energies = -1.580 eV/atom
size of the total moment = 14.0 μB/f.u.

=====

12.
Compound: ZrOsS2
Source: Alexandria
Functional: GGA-PBE
Structure: optimized geometry

a = 3.1559 Å, b = 3.1559 Å, c = 24.4333 Å
α = 90.00°, β = 90.00°, γ = 120.00°
Space group R-3m (No. 166, hexagonal axes)
One atom of each set of equivalent atoms:
Zr  0.0000  0.0000  0.0000 [3 per cell]
Os  0.0000  0.0000  0.5000 [3 per cell]
S  0.0000  0.0000  0.4077 [6 per cell]

mass density = 8.169 g cm⁻³
formation energy from raw total energies = -0.308 eV/atom
excess energy over the best structure of this formula in the dataset = 0.64 eV per formula unit
size of the total moment = 0.0 μB/f.u.

=====

13.
Compound: SrPuPt2
Source: Alexandria
Functional: GGA-PBE
Structure: optimized geometry

a = 4.1587 Å, b = 4.1587 Å, c = 21.4379 Å
α = 90.00°, β = 90.00°, γ = 120.00°
Space group R3m (No. 160, hexagonal axes)
One atom of each set of equivalent atoms:
Sr  0.0000  0.0000  0.0000 [3 per cell]
Pu  0.0000  0.0000  0.1720 [3 per cell]
Pt  0.0000  0.0000  0.5741 [3 per cell]
Pt  0.0000  0.0000  0.7682 [3 per cell]

mass density = 11.198 g cm⁻³
formation energy from the elements = -663 meV per atom
excess energy over the best structure of this formula in the dataset = 0.37 eV per formula unit
size of the total moment = 5.1 μB/f.u.

=====

14.
Compound: CrNiBr2
Source: Alexandria
Functional: GGA-PBE
Structure: optimized geometry

a = 3.6695 Å, b = 3.6695 Å, c = 13.3006 Å
α = 90.00°, β = 90.00°, γ = 90.00°
Space group I-4m2 (No. 119)
One atom of each set of equivalent atoms:
Cr  0.0000  0.0000  0.0000 [2 per cell]
Ni  0.0000  0.5000  0.7500 [2 per cell]
Br  0.0000  0.0000  0.5000 [2 per cell]
Br  0.0000  0.5000  0.2500 [2 per cell]

mass density = 5.016 g cm⁻³
formation energy from raw total energies = 0.284 eV/atom
excess energy over the best structure of this formula in the dataset = 1.52 eV per formula unit
size of the total moment = 5.4 μB/f.u.

=====

15.
Compound: ErSc3Hg2
Source: Alexandria
Functional: GGA-PBE
Structure: optimized geometry

a = 4.8795 Å, b = 8.6895 Å, c = 6.7200 Å
α = 90.00°, β = 90.00°, γ = 90.00°
Space group Pmc2_1 (No. 26)
One atom of each set of equivalent atoms:
Er  0.0000  0.0493  0.0000 [2 per cell]
Sc  0.0000  0.3303  0.6641 [2 per cell]
Sc  0.5000  0.1813  0.3097 [2 per cell]
Sc  0.5000  0.4513  0.9719 [2 per cell]
Hg  0.0000  0.3500  0.2324 [2 per cell]
Hg  0.5000  0.1543  0.7416 [2 per cell]

mass density = 8.198 g cm⁻³
formation energy from the elements = -353 meV per atom
size of the total moment = 0.0 μB/f.u.

=====

16.
Compound: La2AgOs
Source: Alexandria
Functional: GGA-PBE
Structure: optimized geometry

a = 4.5507 Å, b = 4.5507 Å, c = 20.5680 Å
α = 90.00°, β = 90.00°, γ = 120.00°
Space group R3m (No. 160, hexagonal axes)
One atom of each set of equivalent atoms:
La  0.0000  0.0000  0.0000 [3 per cell]
La  0.0000  0.0000  0.1737 [3 per cell]
Ag  0.0000  0.0000  0.7541 [3 per cell]
Os  0.0000  0.0000  0.4194 [3 per cell]

mass density = 7.778 g cm⁻³
formation energy from the elements = 175 meV per atom
size of the total moment = 0.1 μB/f.u.

=====

17.
Compound: CdBiBH2
Source: Alexandria
Functional: GGA-PBE
Structure: optimized geometry

a = 3.9534 Å, b = 3.9534 Å, c = 5.1421 Å
α = 90.00°, β = 90.00°, γ = 90.00°
Space group P4/mmm (No. 123)
One atom of each set of equivalent atoms:
Cd  0.0000  0.0000  0.0000 [1 per cell]
Bi  0.5000  0.5000  0.5000 [1 per cell]
B  0.5000  0.5000  0.0000 [1 per cell]
H  0.0000  0.5000  0.5000 [2 per cell]

mass density = 6.906 g cm⁻³
size of the total moment = 0.0 μB/f.u.
total energy = -2.71 eV per atom

=====

18.
Compound: PmNd3Co
Source: Alexandria
Functional: GGA-PBE
Structure: optimized geometry

a = 11.9942 Å, b = 8.5750 Å, c = 8.4658 Å
α = 90.00°, β = 134.77°, γ = 90.00°
Space group C2/m (No. 12)
One atom of each set of equivalent atoms:
Pm  0.0450  0.0000  0.2511 [4 per cell]
Nd  0.0454  0.5000  0.3377 [4 per cell]
Nd  0.2497  0.2045  0.7920 [8 per cell]
Co  0.2493  0.0000  0.1277 [4 per cell]

mass density = 6.841 g cm⁻³
formation energy from the elements = -53 meV per atom
excess energy over the best structure of this formula in the dataset = 0.00 eV per formula unit
size of the total moment = 0.0 μB/f.u.

=====

19.
Compound: Ba3Na2Cd2Au4
Source: Alexandria
Functional: GGA-PBE
Structure: optimized geometry

a = 4.9772 Å, b = 4.9772 Å, c = 16.3296 Å
α = 90.00°, β = 90.00°, γ = 120.00°
Space group P-3m1 (No. 164)
One atom of each set of equivalent atoms:
Ba  0.0000  0.0000  0.0000 [1 per cell]
Ba  0.0000  0.0000  0.2675 [2 per cell]
Na  0.3333  0.6667  0.5581 [2 per cell]
Cd  0.3333  0.6667  0.1370 [2 per cell]
Au  0.3333  0.6667  0.3706 [2 per cell]
Au  0.3333  0.6667  0.8693 [2 per cell]

mass density = 6.971 g cm⁻³
formation energy from the elements = -488 meV per atom
size of the total moment = 0.0 μB/f.u.

=====

20.
Compound: Pa2Ge2Rh
Source: Alexandria
Functional: GGA-PBE
Structure: optimized geometry

a = 9.7068 Å, b = 5.7054 Å, c = 7.7096 Å
α = 90.00°, β = 101.98°, γ = 90.00°
Space group P2_1/c (No. 14)
One atom of each set of equivalent atoms:
Pa  0.1150  0.1437  0.0812 [4 per cell]
Pa  0.3379  0.6235  0.9933 [4 per cell]
Ge  0.1162  0.6484  0.2158 [4 per cell]
Ge  0.4423  0.0956  0.1733 [4 per cell]
Rh  0.3217  0.1296  0.8500 [4 per cell]

mass density = 11.295 g cm⁻³
formation energy from the elements = -607 meV per atom
excess energy over the best structure of this formula in the dataset = 0.15 eV per formula unit
size of the total moment = 0.3 μB/f.u.

=====

21.
Compound: ZnP
Source: Alexandria
Functional: GGA-PBE
Structure: optimized geometry

a = 3.8767 Å, b = 3.8767 Å, c = 16.1768 Å
α = 90.00°, β = 90.00°, γ = 120.00°
Space group R-3m (No. 166, hexagonal axes)
One atom of each set of equivalent atoms:
Zn  0.0000  0.0000  0.1162 [6 per cell]
P  0.0000  0.0000  0.2751 [6 per cell]

mass density = 4.561 g cm⁻³
formation energy from the elements = 174 meV per atom
size of the total moment = 0.0 μB/f.u.